First-principles (PBE) data for crystalline NaEu2H at its relaxed geometry, as listed in Alexandria.

Lattice parameters (Å, degrees): 3.7949 3.7949 9.7056 78.73 78.73 60.00
Last column: nearest neighbours and their distance in Å.
Element x y z (fractional)
H 0.0000 0.0000 0.0000  6 Eu 2.62
Eu 0.7175 0.7175 0.8476  3 H 2.62
Eu 0.2825 0.2825 0.1524  3 H 2.62
Na 0.5000 0.5000 0.5000  6 Na 3.79, 6 Eu 3.95

Computed properties:
crystal system = trigonal
uncorrected energy = -6.440 eV per atom
space-group type = R-3m (166)
D(E_F) = 0.782 states/eV per atom